# Pr7Hg2N2

A geometry-optimized Pr7Hg2N2 structure (PBE-GGA, the Alexandria database).

```
Pr7Hg2N2
1.0
5.812 -3.783 0.000
5.812 3.783 0.000
-0.589 0.000 6.791
Pr Hg N
7 2 2
direct
0.000 0.000 0.000
0.048 0.503 0.767
0.437 0.437 0.203
0.497 0.952 0.233
0.503 0.048 0.767
0.563 0.563 0.797
0.952 0.497 0.233
0.185 0.815 0.500
0.815 0.185 0.500
0.229 0.229 0.021
0.771 0.771 0.979
```

***

NdErTmSc PBE-GGA optimized geometry; energy of formation from the pure elements = 0.11 eV/atom
1.0
0.000 3.920 3.920
3.920 0.000 3.920
3.920 3.920 0.000
Nd Er Tm Sc
1 1 1 1
direct
0.000 0.000 0.000
0.500 0.500 0.500
0.250 0.250 0.250
0.750 0.750 0.750

***

YHoTm4Sc2 PBE-GGA optimized geometry; energy of formation from the pure elements = 0.46 eV/atom
1.0
6.591 -6.457 0.000
6.591 6.457 0.000
-3.314 0.000 5.719
Y Ho Tm Sc
2 2 8 4
direct
0.000 0.500 0.000
0.500 0.000 0.500
0.000 0.000 0.000
0.000 0.000 0.500
0.250 0.271 0.512
0.259 0.741 0.508
0.259 0.741 0.992
0.271 0.250 0.012
0.729 0.750 0.988
0.741 0.259 0.008
0.741 0.259 0.492
0.750 0.729 0.488
0.000 0.500 0.500
0.500 0.000 0.000
0.500 0.500 0.000
0.500 0.500 0.500

***

# KPaPdS4

A geometry-optimized KPaPdS4 structure (PBE-GGA, the Alexandria database).

```
KPaPdS4
1.0
6.782 0.000 0.000
0.000 5.560 0.000
-3.011 0.000 8.712
K Pa Pd S
2 2 2 8
direct
0.235 0.250 0.449
0.765 0.750 0.551
0.225 0.250 0.942
0.775 0.750 0.058
0.287 0.750 0.191
0.713 0.250 0.809
0.041 0.750 0.330
0.073 0.750 0.923
0.460 0.543 0.804
0.460 0.957 0.804
0.540 0.043 0.196
0.540 0.457 0.196
0.927 0.250 0.077
0.959 0.250 0.670
```

***

Across the entries above, total DFT energy (no corrections) takes the values -5.089; -4.927; -4.743; -5.705 eV/atom, respectively.